A plane-wave DFT calculation with GGA-PBE was carried out for a relaxed structure of TiP2NO.

Unit cell a=3.7347 b=3.7347 c=4.1825 alpha=90.00 beta=90.00 gamma=90.00
Element x y z (fractional)
P: 0.5000 0.0000 0.0000
P: 0.0000 0.5000 0.0000
O: 0.0000 0.0000 0.5000
Ti: 0.5000 0.5000 0.5000
N: 0.0000 0.0000 0.0000

Energy relative to the lowest polymorph listed for this composition = 0.00 eV per formula unit
Uncorrected formation energy = 0.392 eV per atom

A plane-wave DFT calculation with GGA-PBE was carried out for a relaxed structure of Hf3Zn2Ga3.

Unit cell a=4.0074 b=5.4702 c=13.7107 alpha=90.00 beta=90.00 gamma=111.49
Element x y z (fractional)
Zn: 0.2183 0.4367 0.1053
Ga: 0.3662 0.7324 0.2500
Hf: 0.0678 0.1357 0.6181
Ga: 0.3868 0.7736 0.9614
Hf: 0.0678 0.1357 0.8819
Zn: 0.7817 0.5633 0.6053
Ga: 0.6338 0.2676 0.7500
Hf: 0.6428 0.2856 0.2500
Hf: 0.3572 0.7144 0.7500
Ga: 0.3868 0.7736 0.5386
Hf: 0.9322 0.8643 0.1181
Ga: 0.6132 0.2264 0.0386
Hf: 0.9322 0.8643 0.3819
Ga: 0.6132 0.2264 0.4614
Zn: 0.2183 0.4367 0.3947
Zn: 0.7817 0.5633 0.8947

A plane-wave DFT calculation with GGA-PBE was carried out for a relaxed structure of ZrNbSn2Os.

Unit cell a=5.0506 b=5.0510 c=5.0506 alpha=90.00 beta=90.00 gamma=90.00
Site moments in Bohr magnetons follow the coordinates.
Element x y z (fractional)
Sn: 0.0000 0.0000 0.5000  -0.01
Sn: 0.5000 0.0000 0.0000  0.03
Os: 0.0000 0.0000 0.0000  0.26
Nb: 0.5000 0.5000 0.5000  2.14
Zr: 0.0000 0.5000 0.0000  -0.05

A plane-wave DFT calculation with GGA-PBE was carried out for a relaxed structure of NaMg5Ag6.

Unit cell a=4.7238 b=6.8208 c=8.1517 alpha=65.26 beta=74.67 gamma=90.00
Element x y z (fractional)
Mg: 0.6624 0.1629 0.6749
Ag: 0.4998 0.2651 0.0005
Mg: 0.0000 0.5000 0.0000
Mg: 0.6705 0.6676 0.6633
Na: 0.0000 0.0000 0.0000
Ag: 0.1727 0.9131 0.6570
Ag: 0.1726 0.4296 0.6573
Ag: 0.5002 0.7349 0.9995
Mg: 0.3376 0.8371 0.3251
Ag: 0.8273 0.0869 0.3430
Ag: 0.8274 0.5704 0.3427
Mg: 0.3295 0.3324 0.3367

| no. | E (eV per atom) | D(E_F) (states/eV/atom) |
| --- | --- | --- |
| 1 | -6.01 | 0.49 |
| 2 | -5.58 | 0.49 |
| 3 | -6.71 | 0.71 |
| 4 | -2.38 | 0.25 |